The following is a DFT calculation (PBE-GGA) of Sc4H2N after structural relaxation.

a = 4.3935 Å, b = 4.3935 Å, c = 10.2993 Å
α = 90.00°, β = 90.00°, γ = 90.00°
Closest atoms and distances in Å follow each position.
Space group I4/mmm (No. 139)
Symmetry-distinct sites (fractional):
1 Sc 0.0000 0.0000 0.2181 [4 per cell]  1 H 2.02, 1 N 2.25
2 Sc 0.0000 0.5000 0.0000 [4 per cell]  2 N 2.20, 4 H 2.37
3 H 0.0000 0.0000 0.4138 [4 per cell]  1 H 1.78
4 N 0.0000 0.0000 0.0000 [2 per cell]  6 Sc 2.20-2.25

Calculated values
Crystal system: tetragonal
D(E_F) (states/eV per cell): 12.68
Spin magnetization (μB per formula unit): 0.0
Total energy (eV per atom): -6.383

The following is a DFT calculation (PBE-GGA) of Ba3In2Sn7 after structural relaxation.

a = 6.5448 Å, b = 6.5448 Å, c = 31.4618 Å
α = 90.00°, β = 90.00°, γ = 120.00°
Closest atoms and distances in Å follow each position.
Space group R-3m (No. 166, hexagonal axes)
Symmetry-distinct sites (fractional):
1 Ba 0.0000 0.0000 0.0000 [3 per cell]  6 In 3.78, 12 Sn 4.18
2 Ba 0.0000 0.0000 0.1405 [6 per cell]  12 Sn 3.74-3.93, 3 Ba 4.12
3 In 0.0000 0.0000 0.3359 [6 per cell]  6 Sn 3.17-3.27
4 Sn 0.0000 0.0000 0.5000 [3 per cell]  6 Sn 3.26
5 Sn 0.0055 0.5027 0.9172 [18 per cell]  2 In 3.17-3.27, 5 Sn 3.22-3.33

Calculated values
Crystal system: trigonal
D(E_F) (states/eV per cell): 9.93
Spin magnetization (μB per formula unit): 0.0
Total energy (eV per atom): -3.667